(1)
# SiMo3C

An optimized crystal structure of SiMo3C (PBE, Alexandria via LeMat-Bulk).

Geometry as extended XYZ:
```
5
Lattice="4.117 0.000 0.000 0.000 4.117 0.000 0.000 0.000 4.117" Properties=species:S:1:pos:R:3 pbc="T T T"
Si 0.000 0.000 0.000
Mo 0.000 2.059 2.059
Mo 2.059 0.000 2.059
Mo 2.059 2.059 0.000
C 2.059 2.059 2.059
```

Properties
Energy relative to the elements, uncorrected: 119 meV per atom
V: 69.8 Å³ per cell
Energy relative to the lowest polymorph listed for this composition: 105.8 meV per atom
N(E_F): 0.75 states/eV per atom
Space group: Pm-3m (221)

(2)
# LaNiRh3

An optimized crystal structure of LaNiRh3 (PBE, Alexandria via LeMat-Bulk).

Geometry as extended XYZ:
```
5
Lattice="4.588 0.000 0.000 0.000 4.588 0.000 0.000 0.000 4.588" Properties=species:S:1:pos:R:3 pbc="T T T"
La 0.000 0.000 0.000
Ni 2.294 2.294 2.294
Rh 0.000 2.294 2.294
Rh 2.294 0.000 2.294
Rh 2.294 2.294 0.000
```

Properties
V: 96.6 Å³ per cell
Energy of formation: 0.143 eV/atom
Energy relative to the lowest polymorph listed for this composition: 0.0 meV per atom
N(E_F): 2.80 states/eV per atom
Space group: Pm-3m (221)

(3)
# LaBeAl

An optimized crystal structure of LaBeAl (PBE, Alexandria via LeMat-Bulk).

Geometry as extended XYZ:
```
6
Lattice="-2.272 3.852 3.564 2.272 -3.852 3.564 2.272 3.852 -3.564" Properties=species:S:1:pos:R:3 pbc="T T T"
La 0.000 0.000 0.000
La 0.000 3.852 0.764
Be 2.272 2.516 -0.814
Be 0.000 1.336 2.750
Al 2.272 -1.457 1.485
Al 2.272 1.457 1.485
```

Properties
V: 124.8 Å³ per cell
Energy of formation: -0.189 eV/atom
Energy relative to the lowest polymorph listed for this composition: 8.0 meV per atom
N(E_F): 0.18 states/eV per atom
Space group: Imm2 (44)

(4)
# Sc5Tl2Co

An optimized crystal structure of Sc5Tl2Co (PBE, Alexandria via LeMat-Bulk).

Geometry as extended XYZ:
```
16
Lattice="6.446 0.000 0.000 0.000 11.683 0.000 0.000 0.000 4.610" Properties=species:S:1:pos:R:3 pbc="T T T"
Sc 0.000 0.000 0.000
Sc 0.695 3.423 0.000
Sc 1.132 6.788 2.305
Sc 2.091 0.947 2.305
Sc 2.528 9.265 0.000
Sc 3.223 5.842 0.000
Sc 3.918 2.418 0.000
Sc 4.355 10.737 2.305
Sc 5.314 4.895 2.305
Sc 5.751 8.260 0.000
Tl 0.747 9.803 2.305
Tl 2.476 3.962 2.305
Tl 3.970 7.722 2.305
Tl 5.700 1.880 2.305
Co 0.000 5.842 0.000
Co 3.223 0.000 0.000
```

Properties
V: 347.2 Å³ per cell
Energy of formation: -0.251 eV/atom
N(E_F): 0.91 states/eV per atom
Space group: Pbam (55)

(5)
# BeTc4P

An optimized crystal structure of BeTc4P (PBE, Alexandria via LeMat-Bulk).

Geometry as extended XYZ:
```
6
Lattice="0.000 3.588 3.588 3.588 0.000 3.588 3.588 3.588 0.000" Properties=species:S:1:pos:R:3 pbc="T T T"
Be 0.000 0.000 0.000
Tc 2.694 2.694 2.694
Tc 4.483 4.483 2.694
Tc 4.483 2.694 4.483
Tc 2.694 4.483 4.483
P 5.383 5.383 5.383
```

Properties
V: 92.4 Å³ per cell
Energy of formation: 0.727 eV/atom
N(E_F): 0.95 states/eV per atom
Space group: F-43m (216)

(6)
# TcTePI2

An optimized crystal structure of TcTePI2 (PBE, Alexandria via LeMat-Bulk).

Geometry as extended XYZ:
```
5
Lattice="5.330 0.000 0.000 0.000 5.330 0.000 0.000 0.000 5.544" Properties=species:S:1:pos:R:3 pbc="T T T"
Tc 0.000 0.000 0.000
Te 2.665 2.665 0.000
P 2.665 2.665 2.772
I 0.000 2.665 2.772
I 2.665 0.000 2.772
```

Properties
Energy relative to the elements, uncorrected: 1059 meV per atom
V: 157.5 Å³ per cell
Energy relative to the lowest polymorph listed for this composition: 114.5 meV per atom
N(E_F): 0.29 states/eV per atom
Space group: P4/mmm (123)

The highest V belongs to which entry? Sc5Tl2Co

Please write out number 4 again, unchanged.
# Sc5Tl2Co

An optimized crystal structure of Sc5Tl2Co (PBE, Alexandria via LeMat-Bulk).

Geometry as extended XYZ:
```
16
Lattice="6.446 0.000 0.000 0.000 11.683 0.000 0.000 0.000 4.610" Properties=species:S:1:pos:R:3 pbc="T T T"
Sc 0.000 0.000 0.000
Sc 0.695 3.423 0.000
Sc 1.132 6.788 2.305
Sc 2.091 0.947 2.305
Sc 2.528 9.265 0.000
Sc 3.223 5.842 0.000
Sc 3.918 2.418 0.000
Sc 4.355 10.737 2.305
Sc 5.314 4.895 2.305
Sc 5.751 8.260 0.000
Tl 0.747 9.803 2.305
Tl 2.476 3.962 2.305
Tl 3.970 7.722 2.305
Tl 5.700 1.880 2.305
Co 0.000 5.842 0.000
Co 3.223 0.000 0.000
```

Properties
V: 347.2 Å³ per cell
Energy of formation: -0.251 eV/atom
N(E_F): 0.91 states/eV per atom
Space group: Pbam (55)

Look up the V of the second one. 96.6 Å³ per cell